{"formula": "K4TeP4H10O20", "functional": "GGA-PBE", "state": "relaxed", "lattice_angstrom": [[7.6452, 0.0211, 0.0099], [-1.2438, 7.5434, 0.0099], [-1.7457, -2.0629, 17.0464]], "species": ["O", "O", "O", "O", "O", "O", "O", "O", "O", "O", "O", "O", "O", "O", "O", "O", "O", "O", "O", "O", "O", "O", "O", "O", "O", "O", "O", "O", "O", "O", "O", "O", "O", "O", "O", "O", "O", "O", "O", "O", "P", "P", "P", "P", "P", "P", "P", "P", "H", "H", "H", "H", "H", "H", "H", "H", "H", "H", "H", "H", "H", "H", "H", "H", "H", "H", "H", "H", "Te", "Te", "K", "K", "K", "K", "K", "K", "K", "K"], "frac_coords": [[0.6531, 0.7568, 0.2259], [0.7482, 0.9885, 0.9611], [0.9518, 0.7150, 0.3020], [0.6346, 0.4366, 0.0620], [0.3148, 0.8385, 0.8678], [0.0746, 0.1628, 0.9239], [0.1628, 0.0746, 0.4239], [0.5331, 0.2161, 0.2962], [0.3511, 0.4516, 0.6709], [0.4669, 0.7839, 0.7038], [0.2028, 0.9906, 0.5764], [0.0115, 0.2518, 0.5389], [0.1537, 0.5786, 0.0732], [0.2850, 0.0482, 0.1980], [0.7150, 0.9518, 0.8020], [0.9254, 0.8372, 0.0761], [0.8463, 0.4214, 0.9268], [0.2432, 0.3469, 0.2741], [0.9906, 0.2028, 0.0764], [0.3654, 0.5634, 0.9380], [0.2518, 0.0115, 0.0389], [0.8385, 0.3148, 0.3678], [0.9885, 0.7482, 0.4611], [0.5484, 0.6489, 0.8291], [0.5786, 0.1537, 0.5732], [0.7568, 0.6531, 0.7259], [0.7972, 0.0094, 0.4236], [0.6852, 0.1615, 0.1322], [0.2161, 0.5331, 0.7962], [0.0482, 0.2850, 0.6980], [0.1615, 0.6852, 0.6322], [0.0094, 0.7972, 0.9236], [0.6489, 0.5484, 0.3291], [0.4516, 0.3511, 0.1709], [0.4214, 0.8463, 0.4268], [0.7839, 0.4669, 0.2038], [0.8372, 0.9254, 0.5761], [0.5634, 0.3654, 0.4380], [0.3469, 0.2432, 0.7741], [0.4366, 0.6346, 0.5620], [0.3467, 0.6393, 0.6351], [0.6388, 0.7655, 0.7641], [0.3607, 0.6533, 0.8649], [0.7655, 0.6388, 0.2641], [0.6533, 0.3607, 0.3649], [0.2345, 0.3612, 0.7359], [0.3612, 0.2345, 0.2359], [0.6393, 0.3467, 0.1351], [0.8995, 0.5463, 0.9230], [0.0311, 0.2606, 0.5980], [0.8154, 0.1327, 0.4050], [0.4281, 0.7937, 0.4767], [0.2601, 0.0010, 0.4269], [0.0010, 0.2601, 0.9269], [0.8673, 0.1846, 0.0950], [0.4537, 0.1005, 0.5770], [0.2606, 0.0311, 0.0980], [0.2063, 0.5719, 0.0233], [0.5719, 0.2063, 0.5233], [0.7937, 0.4281, 0.9767], [0.7394, 0.9689, 0.9020], [0.1005, 0.4537, 0.0770], [0.7399, 0.9990, 0.5731], [0.1327, 0.8154, 0.9050], [0.5463, 0.8995, 0.4230], [0.9689, 0.7394, 0.4020], [0.9990, 0.7399, 0.0731], [0.1846, 0.8673, 0.5950], [0.0000, 0.0000, 0.5000], [0.0000, 0.0000, 0.0000], [0.4444, 0.2098, 0.9309], [0.0718, 0.9282, 0.7500], [0.2892, 0.7108, 0.2500], [0.7902, 0.5556, 0.5691], [0.2098, 0.4444, 0.4309], [0.7108, 0.2892, 0.7500], [0.5556, 0.7902, 0.0691], [0.9282, 0.0718, 0.2500]], "dos_ef_per_ev_fu": 0.0, "e_tot_ry_per_atom": -0.4266}